A plane-wave DFT calculation with GGA-PBE was carried out for a relaxed Pu2MnH crystal.

a = 5.778 Å, b = 5.778 Å, c = 5.778 Å
α = 38.26°, β = 38.26°, γ = 38.26°
Sites, in units of the cell vectors:
Pu 0.238 0.238 0.238
Pu 0.762 0.762 0.762
Mn 0.000 0.000 0.000
H 0.500 0.500 0.500

Values from the calculation:
Energy above the most stable polymorph in this dataset: 60 meV/atom
DFT total energy: -40.9 eV per cell

A plane-wave DFT calculation with GGA-PBE was carried out for a relaxed PuMn2H8 crystal.

a = 3.975 Å, b = 3.975 Å, c = 5.074 Å
α = 90.00°, β = 90.00°, γ = 90.00°
Sites, in units of the cell vectors:
Pu 0.000 0.000 0.000
Mn 0.000 0.500 0.500
Mn 0.500 0.000 0.500
H 0.279 0.279 0.311
H 0.279 0.279 0.689
H 0.279 0.721 0.311
H 0.279 0.721 0.689
H 0.721 0.279 0.311
H 0.721 0.279 0.689
H 0.721 0.721 0.311
H 0.721 0.721 0.689

Values from the calculation:
DFT total energy: -59.8 eV per cell

A plane-wave DFT calculation with GGA-PBE was carried out for a relaxed Pu3MnH6 crystal.

a = 6.082 Å, b = 6.082 Å, c = 6.082 Å
α = 92.63°, β = 92.63°, γ = 92.63°
Sites, in units of the cell vectors:
Pu 0.014 0.745 0.529
Pu 0.255 0.471 0.986
Pu 0.471 0.986 0.255
Pu 0.529 0.014 0.745
Pu 0.745 0.529 0.014
Pu 0.986 0.255 0.471
Mn 0.000 0.000 0.000
Mn 0.500 0.500 0.500
H 0.039 0.746 0.903
H 0.097 0.961 0.254
H 0.254 0.097 0.961
H 0.304 0.612 0.339
H 0.339 0.304 0.612
H 0.388 0.661 0.696
H 0.612 0.339 0.304
H 0.661 0.696 0.388
H 0.696 0.388 0.661
H 0.746 0.903 0.039
H 0.903 0.039 0.746
H 0.961 0.254 0.097

Values from the calculation:
DFT total energy: -148.1 eV per cell

A plane-wave DFT calculation with GGA-PBE was carried out for a relaxed PuMn2H9 crystal.

a = 5.947 Å, b = 5.947 Å, c = 5.947 Å
α = 99.91°, β = 99.91°, γ = 130.98°
Sites, in units of the cell vectors:
Pu 0.375 0.625 0.750
Pu 0.625 0.375 0.250
Mn 0.000 0.000 0.000
Mn 0.000 0.000 0.500
Mn 0.000 0.500 0.000
Mn 0.500 0.000 0.500
H 0.125 0.875 0.250
H 0.149 0.585 0.326
H 0.149 0.824 0.565
H 0.176 0.241 0.326
H 0.176 0.851 0.935
H 0.241 0.176 0.826
H 0.241 0.415 0.065
H 0.415 0.241 0.565
H 0.415 0.851 0.174
H 0.585 0.149 0.826
H 0.585 0.759 0.435
H 0.759 0.585 0.935
H 0.759 0.824 0.174
H 0.824 0.149 0.065
H 0.824 0.759 0.674
H 0.851 0.176 0.435
H 0.851 0.415 0.674
H 0.875 0.125 0.750

Values from the calculation:
DFT total energy: -122.0 eV per cell

DFT total energy of number 1 (Pu2MnH)?
-40.9 eV per cell

DFT total energy of number 1 (Pu2MnH)?
-40.9 eV per cell

Which value of DFT total energy does entry 4 give?
-122.0 eV per cell